1.
Density functional theory data (PBE) for a relaxed Li3Ca2SiNi12 crystal.

a = 11.579 Å, b = 11.579 Å, c = 11.579 Å
α = 25.53°, β = 25.53°, γ = 25.53°
Positions (direct):
Li 0.000 0.500 0.500
Li 0.500 0.000 0.500
Li 0.500 0.500 0.000
Ca 0.144 0.144 0.144
Ca 0.856 0.856 0.856
Si 0.500 0.500 0.500
Ni 0.099 0.099 0.630
Ni 0.099 0.630 0.099
Ni 0.121 0.605 0.605
Ni 0.370 0.901 0.901
Ni 0.395 0.395 0.879
Ni 0.395 0.879 0.395
Ni 0.605 0.121 0.605
Ni 0.605 0.605 0.121
Ni 0.630 0.099 0.099
Ni 0.879 0.395 0.395
Ni 0.901 0.370 0.901
Ni 0.901 0.901 0.370

As for the space group: No. 166. The value obtained for the raw formation energy is 0.108 eV/atom. The calculation puts the density of states at the Fermi level at 23.67 states/eV/cell. As for the total magnetization: 3.88 Bohr magnetons per cell.

2.
Density functional theory data (PBE) for a relaxed GdHoSe2 crystal.

a = 4.096 Å, b = 4.096 Å, c = 20.010 Å
α = 90.00°, β = 90.00°, γ = 120.00°
Positions (direct):
Gd 0.000 0.000 0.000
Gd 0.333 0.667 0.667
Gd 0.667 0.333 0.333
Ho 0.000 0.000 0.500
Ho 0.333 0.667 0.167
Ho 0.667 0.333 0.833
Se 0.000 0.000 0.248
Se 0.000 0.000 0.752
Se 0.333 0.667 0.419
Se 0.333 0.667 0.915
Se 0.667 0.333 0.085
Se 0.667 0.333 0.581

As for the space group: No. 166. The value obtained for the raw formation energy is -1.795 eV/atom. The calculation puts the density of states at the Fermi level at 6.47 states/eV/cell. As for the total magnetization: 20.56 Bohr magnetons per cell.

3.
Density functional theory data (PBE) for a relaxed Sc3CoNi crystal.

a = 4.174 Å, b = 7.786 Å, c = 5.472 Å
α = 90.00°, β = 90.00°, γ = 90.00°
Positions (direct):
Sc 0.250 0.047 0.241
Sc 0.250 0.250 0.749
Sc 0.250 0.453 0.241
Sc 0.750 0.547 0.759
Sc 0.750 0.750 0.251
Sc 0.750 0.953 0.759
Co 0.250 0.750 0.967
Co 0.750 0.250 0.033
Ni 0.250 0.750 0.537
Ni 0.750 0.250 0.463

As for the space group: No. 59. The calculation puts the density of states at the Fermi level at 10.28 states/eV/cell. For the energy of formation from the pure elements, the calculation gives -0.316 eV/atom. As for the excess energy over the best structure of this formula in the dataset: 0.0 kJ/mol of atoms. As for the total magnetization: 0.00 Bohr magnetons per cell.

4.
Density functional theory data (PBE) for a relaxed Cd2PRh crystal.

a = 8.897 Å, b = 8.897 Å, c = 4.455 Å
α = 90.00°, β = 90.00°, γ = 90.00°
Positions (direct):
Cd 0.142 0.750 0.125
Cd 0.250 0.142 0.875
Cd 0.250 0.358 0.375
Cd 0.358 0.750 0.625
Cd 0.642 0.250 0.625
Cd 0.750 0.642 0.375
Cd 0.750 0.858 0.875
Cd 0.858 0.250 0.125
P 0.000 0.000 0.000
P 0.000 0.500 0.250
P 0.500 0.000 0.750
P 0.500 0.500 0.500
Rh 0.000 0.000 0.500
Rh 0.000 0.500 0.750
Rh 0.500 0.000 0.250
Rh 0.500 0.500 0.000

As for the space group: No. 122. The calculation puts the density of states at the Fermi level at 8.56 states/eV/cell. For the energy of formation from the pure elements, the calculation gives 0.162 eV/atom. As for the total magnetization: 0.00 Bohr magnetons per cell.